A) DFT (GGA-PBE) results for an optimized crystal structure of K2BrN.

The structure belongs to space group I-42d (No. 122); the cell edges are 6.5876, 6.5876 and 15.2104 Å and the angles 90.00°, 90.00° and 90.00°. The inequivalent atoms are K at (0.1945, 0.2500, 0.1250), Br at (0.0000, 0.0000, 0.5000) and N at (0.0000, 0.0000, 0.0000).

The calculation puts the spin magnetization at 0.500 μB per atom. As for the volume: 41.25 A^3/atom.

---

B) DFT (GGA-PBE) results for an optimized crystal structure of K2BrN.

The structure belongs to space group Fm-3m (No. 225); the cell edges are 7.6462, 7.6462 and 7.6462 Å and the angles 90.00°, 90.00° and 90.00°. The inequivalent atoms are K at (0.2500, 0.2500, 0.2500), Br at (0.0000, 0.0000, 0.0000) and N at (0.0000, 0.0000, 0.5000).

The calculation puts the spin magnetization at 0.500 μB per atom. As for the volume: 27.94 A^3/atom.

---

Quick look at relative energies in meV per atom: A) 0; B) 74.

---

A) DFT (GGA-PBE) results for an optimized crystal structure of KSeBr2N.

The structure belongs to space group P4/mmm (No. 123); the cell edges are 6.0078, 6.0078 and 3.8095 Å and the angles 90.00°, 90.00° and 90.00°. The inequivalent atoms are K at (0.0000, 0.0000, 0.0000), Se at (0.5000, 0.5000, 0.0000), Br at (0.0000, 0.5000, 0.5000) and N at (0.5000, 0.5000, 0.5000).

The calculation puts the spin magnetization at 0.000 μB per atom. As for the volume: 27.50 A^3/atom.

---

B) DFT (GGA-PBE) results for an optimized crystal structure of KSeBr2N.

The structure belongs to space group P4/mmm (No. 123); the cell edges are 6.3281, 6.3281 and 6.7637 Å and the angles 90.00°, 90.00° and 90.00°. The inequivalent atoms are K at (0.0000, 0.0000, 0.0000), Se at (0.0000, 0.0000, 0.5000), Br at (0.0000, 0.5000, 0.0000) and N at (0.5000, 0.5000, 0.5000).

The calculation puts the spin magnetization at 1.203 μB per atom. As for the volume: 54.17 A^3/atom.

---

Quick look at relative energies in meV per atom: A) 0; B) 903.